La2TlCo | PBE-GGA | relaxed

POSCAR file:
```
La2TlCo
1.0
-4.144 -2.825 -3.028
0.855 -5.794 -0.155
-0.108 3.978 4.299
Co La Tl
1 2 1
direct
0.750 0.250 0.500
0.000 0.000 0.000
0.250 0.750 0.500
0.500 0.500 0.000
```

Output
Energy of formation from the pure elements, eV/atom: 0.063
Total DFT energy (no corrections), Ha/atom: -0.1753

AcNi5Sn7 | PBE-GGA | relaxed

POSCAR file:
```
AcNi5Sn7
1.0
-1.511 -4.685 3.024
0.419 -6.170 -3.832
5.518 -2.940 3.721
Ac Ni Sn
1 5 7
direct
0.998 0.002 0.002
0.485 0.005 0.486
0.024 0.005 0.486
0.485 0.486 0.005
0.024 0.486 0.005
0.737 0.763 0.763
0.650 0.350 0.350
0.336 0.664 0.664
0.969 0.368 0.693
0.969 0.693 0.368
0.263 0.237 0.237
0.530 0.780 0.161
0.530 0.161 0.780
```

Output
Energy of formation from the pure elements, eV/atom: -0.140
Total DFT energy (no corrections), Ha/atom: -0.1777

La2TiBe | PBE-GGA | relaxed

POSCAR file:
```
La2TiBe
1.0
4.284 0.000 0.000
0.000 4.284 0.000
2.142 2.142 10.471
Be Ti La
2 2 4
direct
0.500 0.500 0.000
0.250 0.750 0.500
0.000 0.000 0.000
0.750 0.250 0.500
0.626 0.125 0.250
0.124 0.625 0.250
0.375 0.374 0.750
0.875 0.876 0.750
```

Output
Energy of formation from the pure elements, eV/atom: 0.799
Total DFT energy (no corrections), Ha/atom: -0.1680

Th4FeBi2 | PBE-GGA | relaxed

POSCAR file:
```
Th4FeBi2
1.0
6.441 0.000 -2.627
0.000 6.957 0.000
0.138 0.000 9.548
Fe Th Bi
2 8 4
direct
0.000 0.000 0.000
0.500 0.500 0.000
0.832 0.000 0.665
0.168 0.000 0.335
0.668 0.500 0.335
0.332 0.500 0.665
0.750 0.250 0.000
0.750 0.750 0.000
0.250 0.250 0.000
0.250 0.750 0.000
0.643 0.000 0.286
0.357 0.000 0.714
0.857 0.500 0.714
0.143 0.500 0.286
```

Output
Energy relative to the lowest polymorph listed for this composition, eV per formula unit: 0.00
Energy of formation from the pure elements, eV/atom: -0.352
Total DFT energy (no corrections), Ha/atom: -0.2539

Ti3Cu3Pd2 | PBE-GGA | relaxed

POSCAR file:
```
Ti3Cu3Pd2
1.0
3.956 0.000 -0.523
0.000 3.758 0.000
-0.952 -1.879 7.958
Ti Cu Pd
3 3 2
direct
0.370 0.871 0.742
0.630 0.129 0.258
0.000 0.000 0.000
0.877 0.378 0.757
0.500 0.500 0.000
0.123 0.622 0.243
0.753 0.753 0.506
0.247 0.247 0.494
```

Output
Energy relative to the lowest polymorph listed for this composition, eV per formula unit: 0.00
Energy of formation from the pure elements, eV/atom: -0.261
Total DFT energy (no corrections), Ha/atom: -0.2225

CoRe2Pb2 | PBE-GGA | relaxed

POSCAR file:
```
CoRe2Pb2
1.0
8.067 0.000 0.000
0.000 8.067 0.000
0.000 0.000 3.137
Pb Re Co
4 4 2
direct
0.313 0.813 0.000
0.813 0.687 0.000
0.687 0.187 0.000
0.187 0.313 0.000
0.104 0.604 0.500
0.604 0.896 0.500
0.896 0.396 0.500
0.396 0.104 0.500
0.000 0.000 0.000
0.500 0.500 0.000
```

Output
Energy relative to the lowest polymorph listed for this composition, eV per formula unit: 2.00
Energy of formation from the pure elements, eV/atom: 1.403
Total DFT energy (no corrections), Ha/atom: -0.2382

PaNi3 | PBE-GGA | relaxed

POSCAR file:
```
PaNi3
1.0
-3.203 0.879 1.634
-0.465 -3.806 1.137
1.949 0.778 3.401
Ni Pa
3 1
direct
0.000 0.000 0.917
0.500 0.000 0.417
0.500 0.500 0.916
0.000 0.500 0.416
```

Output
Energy relative to the lowest polymorph listed for this composition, eV per formula unit: 0.80
Energy of formation from the pure elements, eV/atom: -0.226
Total DFT energy (no corrections), Ha/atom: -0.2549

Cs6NbF12 | PBE-GGA | relaxed

POSCAR file:
```
Cs6NbF12
1.0
8.332 -0.518 -1.002
-1.066 8.280 -1.002
-0.485 -0.518 8.378
Cs Nb F
6 1 12
direct
0.146 0.331 0.588
0.669 0.412 0.854
0.412 0.854 0.669
0.854 0.669 0.412
0.331 0.588 0.146
0.588 0.146 0.331
0.000 0.000 0.000
0.412 0.171 0.603
0.171 0.603 0.412
0.603 0.412 0.171
0.588 0.829 0.397
0.829 0.397 0.588
0.397 0.588 0.829
0.022 0.918 0.776
0.224 0.978 0.082
0.082 0.224 0.978
0.978 0.082 0.224
0.776 0.022 0.918
0.918 0.776 0.022
```

Output
Total DFT energy (no corrections), Ha/atom: -0.1730
Raw formation energy, eV/atom: -2.7274

Rb2Ce2PuSe6 | PBE-GGA | relaxed

POSCAR file:
```
Rb2Ce2PuSe6
1.0
7.449 -0.022 0.075
-3.701 6.464 0.075
-1.327 -2.281 8.065
Rb Ce Pu Se
2 2 1 6
direct
0.833 0.167 0.000
0.167 0.833 0.000
0.334 0.666 0.500
0.666 0.334 0.500
0.000 0.000 0.500
0.733 0.733 0.691
0.062 0.396 0.690
0.267 0.267 0.309
0.396 0.062 0.690
0.938 0.604 0.310
0.604 0.938 0.310
```

Output
Total DFT energy (no corrections), Ha/atom: -0.2228
Raw formation energy, eV/atom: -1.6047

LaBeW2 | PBE-GGA | relaxed

POSCAR file:
```
LaBeW2
1.0
5.565 0.008 0.000
-2.712 4.859 0.000
0.000 0.000 2.725
Be W La
1 2 1
direct
0.500 0.000 0.500
0.000 0.000 0.000
0.500 0.500 0.000
0.000 0.500 0.500
```

Output
Energy of formation from the pure elements, eV/atom: 1.068
Total DFT energy (no corrections), Ha/atom: -0.2783

SrCrSb2Te | PBE-GGA | relaxed

POSCAR file:
```
SrCrSb2Te
1.0
-4.427 -1.609 -3.737
3.620 -4.079 -2.531
-1.857 -4.111 3.970
Sb Te Cr Sr
2 1 1 1
direct
0.000 0.500 0.000
0.500 0.000 0.000
0.000 0.000 0.500
0.500 0.500 0.500
0.000 0.000 0.000
```

Output
Energy relative to the lowest polymorph listed for this composition, eV per formula unit: 6.00
Total DFT energy (no corrections), Ha/atom: -0.1311
Raw formation energy, eV/atom: 0.9713

GePd | PBE-GGA | relaxed

POSCAR file:
```
GePd
1.0
9.316 0.000 0.000
0.000 4.762 0.000
0.000 0.000 4.460
Ge Pd
6 6
direct
0.656 0.401 0.619
0.844 0.599 0.119
0.344 0.401 0.619
0.156 0.599 0.119
0.000 0.099 0.384
0.500 0.901 0.884
0.656 0.902 0.376
0.844 0.098 0.876
0.344 0.902 0.376
0.156 0.098 0.876
0.000 0.597 0.628
0.500 0.403 0.128
```

Output
Energy of formation from the pure elements, eV/atom: -0.320
Total DFT energy (no corrections), Ha/atom: -0.1920

Q: What is the total DFT energy (no corrections) in the third record?
A: -0.1680 Ha/atom

Q: What is the formula in the fourth record?
A: Th4FeBi2